(1)
## Dy2TeAs (PBE)

Data for a relaxed Dy2TeAs crystal.

- ΔE_f (raw) (eV/f.u.) = -5.84
- energy relative to the lowest polymorph listed for this composition (eV/atom) = 0.032
- SG = R3m, No. 160
- spin magnetization (Bohr magnetons per cell) = 0.0

Cell lengths 7.686, 7.686, 7.686 Å; angles 31.26, 31.26, 31.26 degrees
Positions (direct):
Dy: 0.000 0.000 0.000
Dy: 0.189 0.189 0.189
Te: 0.427 0.427 0.427
As: 0.597 0.597 0.597

---

(2)
## Dy3Te2As (PBE)

Data for a relaxed Dy3Te2As crystal.

- ΔE_f (raw) (eV/f.u.) = -8.50
- energy relative to the lowest polymorph listed for this composition (eV/atom) = 0.013
- SG = Immm, No. 71
- spin magnetization (Bohr magnetons per cell) = 0.0

Cell lengths 7.516, 7.516, 7.516 Å; angles 147.37, 132.82, 58.54 degrees
Positions (direct):
Dy: 0.000 0.000 0.000
Dy: 0.356 0.356 0.000
Dy: 0.644 0.644 0.000
Te: 0.174 0.674 0.500
Te: 0.826 0.326 0.500
As: 0.500 0.000 0.500

---

Copy entry 1 word for word.
## Dy2TeAs (PBE)

Data for a relaxed Dy2TeAs crystal.

- ΔE_f (raw) (eV/f.u.) = -5.84
- energy relative to the lowest polymorph listed for this composition (eV/atom) = 0.032
- SG = R3m, No. 160
- spin magnetization (Bohr magnetons per cell) = 0.0

Cell lengths 7.686, 7.686, 7.686 Å; angles 31.26, 31.26, 31.26 degrees
Positions (direct):
Dy: 0.000 0.000 0.000
Dy: 0.189 0.189 0.189
Te: 0.427 0.427 0.427
As: 0.597 0.597 0.597

---

Among the records above, which one has the highest ΔE_f (raw)?
Dy2TeAs

---

Among the records above, which one has the lowest ΔE_f (raw)?
Dy3Te2As